# 1
A plane-wave DFT calculation with PBE was carried out for an optimized crystal structure of PmPr12Y6.

Values from the calculation:
distance to the lowest polymorph of the same formula = 40 meV/atom
space group = Im-3, No. 204
formation energy from the elements = 223 meV/atom
Fermi-level density of states = 29.667 states/eV/f.u.
crystal system = cubic

a b c (Å): 9.5601 9.5601 9.5601
angles (deg): 109.47 109.47 109.47
Atoms (fractional coordinates):
Pm 0.0000 0.0000 0.0000
Pr 0.2629 0.0660 0.8031
Pr 0.2629 0.4597 0.1969
Pr 0.7371 0.5403 0.8031
Pr 0.7371 0.9340 0.1969
Pr 0.0660 0.8031 0.2629
Pr 0.4597 0.1969 0.2629
Pr 0.5403 0.8031 0.7371
Pr 0.9340 0.1969 0.7371
Pr 0.8031 0.2629 0.0660
Pr 0.1969 0.2629 0.4597
Pr 0.8031 0.7371 0.5403
Pr 0.1969 0.7371 0.9340
Y 0.3562 0.5000 0.8562
Y 0.6438 0.5000 0.1438
Y 0.5000 0.8562 0.3562
Y 0.5000 0.1438 0.6438
Y 0.8562 0.3562 0.5000
Y 0.1438 0.6438 0.5000

---

# 2
A plane-wave DFT calculation with PBE was carried out for an optimized crystal structure of La6Pr8Ho.

Values from the calculation:
distance to the lowest polymorph of the same formula = 0 meV/atom
space group = R-3, No. 148
formation energy from the elements = 95 meV/atom
Fermi-level density of states = 25.312 states/eV/f.u.
crystal system = trigonal

a b c (Å): 8.9725 8.9725 8.9725
angles (deg): 63.29 63.29 63.29
Atoms (fractional coordinates):
La 0.9056 0.4622 0.7601
La 0.2399 0.0944 0.5378
La 0.5378 0.2399 0.0944
La 0.4622 0.7601 0.9056
La 0.7601 0.9056 0.4622
La 0.0944 0.5378 0.2399
Pr 0.1139 0.7071 0.7609
Pr 0.2391 0.8861 0.2929
Pr 0.2929 0.2391 0.8861
Pr 0.5779 0.5779 0.5779
Pr 0.4221 0.4221 0.4221
Pr 0.7071 0.7609 0.1139
Pr 0.7609 0.1139 0.7071
Pr 0.8861 0.2929 0.2391
Ho 0.0000 0.0000 0.0000

---

# 3
A plane-wave DFT calculation with PBE was carried out for an optimized crystal structure of Li2Sn2Ge.

Values from the calculation:
distance to the lowest polymorph of the same formula = 123 meV/atom
space group = I4/mmm, No. 139
formation energy from the elements = -3 meV/atom
Fermi-level density of states = 2.366 states/eV/f.u.
crystal system = tetragonal

a b c (Å): 4.1289 4.1289 7.2018
angles (deg): 73.34 73.34 90.00
Atoms (fractional coordinates):
Ge 0.0000 0.0000 0.0000
Sn 0.3961 0.3961 0.2079
Sn 0.6039 0.6039 0.7921
Li 0.7500 0.2500 0.5000
Li 0.2500 0.7500 0.5000

---

# 4
A plane-wave DFT calculation with PBE was carried out for an optimized crystal structure of CeHfPa2P4.

Values from the calculation:
space group = P2/m, No. 10
formation energy from the elements = -1338 meV/atom
Fermi-level density of states = 7.749 states/eV/f.u.
crystal system = monoclinic

a b c (Å): 3.9381 6.8002 6.7754
angles (deg): 109.53 90.00 90.00
Atoms (fractional coordinates):
Ce 0.0000 0.0000 0.0000
Hf 0.5000 0.5000 0.0000
Pa 0.5000 0.0000 0.5000
Pa 0.0000 0.5000 0.5000
P 0.5000 0.2610 0.2470
P 0.5000 0.7390 0.7530
P 0.0000 0.2639 0.7601
P 0.0000 0.7361 0.2399

---

# 5
A plane-wave DFT calculation with PBE was carried out for an optimized crystal structure of AgAs2Pt.

Values from the calculation:
distance to the lowest polymorph of the same formula = 161 meV/atom
space group = P4/mmm, No. 123
formation energy from the elements = 103 meV/atom
Fermi-level density of states = 0.915 states/eV/f.u.
crystal system = tetragonal

a b c (Å): 3.6577 4.3817 4.3817
angles (deg): 90.00 90.00 90.00
Atoms (fractional coordinates):
As 0.0000 0.0000 0.0000
As 0.0000 0.5000 0.5000
Ag 0.5000 0.0000 0.5000
Pt 0.5000 0.5000 0.0000

---

# 6
A plane-wave DFT calculation with PBE was carried out for an optimized crystal structure of HgGeClF6.

Values from the calculation:
uncorrected formation energy = -1.693 eV per atom
space group = P1, No. 1
crystal system = triclinic

a b c (Å): 6.8953 5.8550 5.1107
angles (deg): 89.64 86.57 54.91
Each line ends with the local moment (μB).
Atoms (fractional coordinates):
Hg 0.6582 0.6298 0.4559  0.01
Ge 0.3372 0.3319 0.4796  0.00
Cl 0.9204 0.1884 0.2374  0.54
F 0.2211 0.2526 0.2004  0.20
F 0.3756 0.0184 0.6572  0.01
F 0.4836 0.3819 0.7282  0.00
F 0.0423 0.5495 0.6356  0.00
F 0.3268 0.5995 0.2904  0.01
F 0.6346 0.0480 0.3153  0.09

---

Computed electronic total energy (eV/atom) in order:
-5.087, -4.730, -3.293, -8.403, -4.445, -3.692